Entry 1:
Here is CrCoAg2 after structural relaxation from Alexandria. Energies are from PBE.

Geometry as CIF:
```
data_CrCoAg2
_chemical_formula_sum 'Cr2 Co2 Ag4'
_cell_length_a 3.937
_cell_length_b 3.956
_cell_length_c 7.848
_cell_angle_alpha 90.00
_cell_angle_beta 90.00
_cell_angle_gamma 90.00
_symmetry_space_group_name_H-M 'I m m 2'
_symmetry_Int_Tables_number 44
loop_
_symmetry_equiv_pos_as_xyz
'x,y,z'
'-x,-y,z'
'-x,y,z'
'x,-y,z'
'x+1/2,y+1/2,z+1/2'
'-x+1/2,-y+1/2,z+1/2'
'-x+1/2,y+1/2,z+1/2'
'x+1/2,-y+1/2,z+1/2'
loop_
_atom_site_label
_atom_site_fract_x
_atom_site_fract_y
_atom_site_fract_z
Cr1 0.000 0.000 0.000
Co1 0.000 0.500 0.251
Ag1 0.000 0.000 0.501
Ag2 0.000 0.500 0.751
```

Results
The value obtained for the spin magnetization is 0.6158 μB/atom. The total energy is -40.93 eV for the cell shown. For the density of states at the Fermi level, the calculation gives 1.360 states/eV per atom.

Entry 2:
Here is Sr6Tl3Cd after structural relaxation from Alexandria. Energies are from PBE.

Geometry as CIF:
```
data_Sr6Tl3Cd
_chemical_formula_sum 'Sr12 Tl6 Cd2'
_cell_length_a 10.204
_cell_length_b 5.863
_cell_length_c 13.158
_cell_angle_alpha 90.00
_cell_angle_beta 109.72
_cell_angle_gamma 90.00
_symmetry_space_group_name_H-M 'P 1 21/m 1'
_symmetry_Int_Tables_number 11
loop_
_symmetry_equiv_pos_as_xyz
'x,y,z'
'-x,-y,-z'
'-x,y+1/2,-z'
'x,-y+1/2,z'
loop_
_atom_site_label
_atom_site_fract_x
_atom_site_fract_y
_atom_site_fract_z
Sr1 0.020 0.250 0.409
Sr2 0.157 0.750 0.173
Sr3 0.253 0.250 0.000
Sr4 0.340 0.750 0.823
Sr5 0.375 0.250 0.350
Sr6 0.379 0.250 0.634
Tl1 0.032 0.750 0.879
Tl2 0.103 0.250 0.720
Tl3 0.269 0.750 0.474
Cd1 0.453 0.750 0.099
```

Results
The value obtained for the spin magnetization is 0.0000 μB/atom. The total energy is -42.43 eV for the cell shown. For the density of states at the Fermi level, the calculation gives 0.543 states/eV per atom.

Entry 3:
Here is Ti3CrGa after structural relaxation from Alexandria. Energies are from PBE.

Geometry as CIF:
```
data_Ti3CrGa
_chemical_formula_sum 'Ti3 Cr1 Ga1'
_cell_length_a 4.501
_cell_length_b 4.501
_cell_length_c 4.501
_cell_angle_alpha 90.00
_cell_angle_beta 90.00
_cell_angle_gamma 90.00
_symmetry_space_group_name_H-M 'P m -3 m'
_symmetry_Int_Tables_number 221
_symmetry_space_group_name_Hall '-P 4 2 3'
loop_
_atom_site_label
_atom_site_fract_x
_atom_site_fract_y
_atom_site_fract_z
Ti1 0.000 0.000 0.500
Cr1 0.000 0.000 0.000
Ga1 0.500 0.500 0.500
```

Results
The value obtained for the spin magnetization is 0.0001 μB/atom. The total energy is -33.95 eV for the cell shown. For the density of states at the Fermi level, the calculation gives 2.228 states/eV per atom.

Entry 4:
Here is PmDy6Y2 after structural relaxation from Alexandria. Energies are from PBE.

Geometry as CIF:
```
data_PmDy6Y2
_chemical_formula_sum 'Pm1 Dy6 Y2'
_cell_length_a 7.3966
_cell_length_b 7.3966
_cell_length_c 6.1217
_cell_angle_alpha 90.00
_cell_angle_beta 90.00
_cell_angle_gamma 120.00
_symmetry_space_group_name_H-M 'P -3 m 1'
_symmetry_Int_Tables_number 164
_symmetry_space_group_name_Hall '-P 3 2"'
loop_
_atom_site_label
_atom_site_fract_x
_atom_site_fract_y
_atom_site_fract_z
Pm1 0.0000 0.0000 0.0000
Dy1 0.1871 0.3743 0.2983
Y1 0.3333 0.6667 0.7923
```

Results
The value obtained for the spin magnetization is 0.0001 μB/atom. The total energy is -43.27 eV for the cell shown. For the density of states at the Fermi level, the calculation gives 1.561 states/eV per atom.

Entry 5:
Here is BaNaNb after structural relaxation from Alexandria. Energies are from PBE.

Geometry as CIF:
```
data_BaNaNb
_chemical_formula_sum 'Ba4 Na4 Nb4'
_cell_length_a 8.157
_cell_length_b 8.157
_cell_length_c 8.157
_cell_angle_alpha 90.00
_cell_angle_beta 90.00
_cell_angle_gamma 90.00
_symmetry_space_group_name_H-M 'F -4 3 m'
_symmetry_Int_Tables_number 216
_symmetry_space_group_name_Hall 'F -4 2 3'
loop_
_atom_site_label
_atom_site_fract_x
_atom_site_fract_y
_atom_site_fract_z
Ba1 0.000 0.000 0.000
Na1 0.000 0.000 0.500
Nb1 0.250 0.250 0.250
```

Results
The value obtained for the spin magnetization is 1.6243 μB/atom. The total energy is -37.15 eV for the cell shown. For the density of states at the Fermi level, the calculation gives 1.423 states/eV per atom.

Entry 6:
Here is LiBeSe after structural relaxation from Alexandria. Energies are from PBE.

Geometry as CIF:
```
data_LiBeSe
_chemical_formula_sum 'Li1 Be1 Se1'
_cell_length_a 3.6197
_cell_length_b 3.6197
_cell_length_c 4.5696
_cell_angle_alpha 90.00
_cell_angle_beta 90.00
_cell_angle_gamma 120.00
_symmetry_space_group_name_H-M 'P 3 m 1'
_symmetry_Int_Tables_number 156
loop_
_symmetry_equiv_pos_as_xyz
'x,y,z'
'-y,x-y,z'
'-x+y,-x,z'
'-y,-x,z'
'-x+y,y,z'
'x,x-y,z'
loop_
_atom_site_label
_atom_site_fract_x
_atom_site_fract_y
_atom_site_fract_z
Li1 0.0000 0.0000 0.0000
Be1 0.6667 0.3333 0.5842
Se1 0.3333 0.6667 0.4326
```

Results
The raw formation energy is -0.349 eV/atom. The value obtained for the spin magnetization is 0.2011 μB/atom. The total energy is -10.17 eV for the cell shown. For the density of states at the Fermi level, the calculation gives 0.417 states/eV per atom.